{"formula": "Dy3ErAg4", "functional": "PBE", "state": "optimized geometry", "cell": [[3.624, 0.000, 0.000], [0.000, 3.624, 0.000], [0.000, 0.000, 14.540]], "species": ["Er", "Ag", "Ag", "Ag", "Ag", "Dy", "Dy", "Dy"], "fractional_positions": [[0.500, 0.500, 0.000], [0.000, 0.000, 0.878], [0.000, 0.000, 0.122], [0.000, 0.000, 0.375], [0.000, 0.000, 0.625], [0.500, 0.500, 0.249], [0.500, 0.500, 0.500], [0.500, 0.500, 0.751]], "m_tot_mub_per_fu": 0.00}

{"formula": "UGa4Cu2", "functional": "PBE", "state": "optimized geometry", "cell": [[-1.445, -3.105, 2.620], [5.177, 0.792, 3.795], [-8.401, 11.548, 9.050]], "species": ["U", "U", "U", "U", "Cu", "Cu", "Cu", "Cu", "Cu", "Cu", "Cu", "Cu", "Ga", "Ga", "Ga", "Ga", "Ga", "Ga", "Ga", "Ga", "Ga", "Ga", "Ga", "Ga", "Ga", "Ga", "Ga", "Ga"], "fractional_positions": [[0.750, 0.995, 0.633], [0.250, 0.005, 0.367], [0.250, 0.495, 0.867], [0.750, 0.505, 0.133], [0.250, 0.761, 0.537], [0.750, 0.239, 0.463], [0.750, 0.261, 0.963], [0.250, 0.739, 0.037], [0.250, 0.979, 0.781], [0.750, 0.021, 0.219], [0.750, 0.479, 0.719], [0.250, 0.521, 0.281], [0.250, 0.283, 0.693], [0.750, 0.717, 0.307], [0.750, 0.783, 0.807], [0.250, 0.217, 0.193], [0.250, 0.688, 0.685], [0.750, 0.312, 0.315], [0.750, 0.188, 0.815], [0.250, 0.812, 0.185], [0.250, 0.185, 0.535], [0.750, 0.815, 0.465], [0.750, 0.685, 0.965], [0.250, 0.315, 0.035], [0.250, 0.496, 0.425], [0.750, 0.504, 0.575], [0.750, 0.996, 0.075], [0.250, 0.004, 0.925]], "m_tot_mub_per_fu": 2.42}

For the records above, the corresponding calculated formation energy values read -323, -146 meV per atom.
For the records above, the corresponding volume values read 191, 471 Å³/cell.